#i
Below is crystalline Mn2CdTe at its relaxed geometry, with properties calculated at the PBE level.

a = 4.370 Å, b = 4.370 Å, c = 3.968 Å
α = 89.98°, β = 89.98°, γ = 90.00°
Last column: magnetic moment on the atom in μB.
Positions (direct):
Cd 0.000 0.500 0.500  -0.06
Mn 0.000 0.000 0.000  3.52
Mn 0.500 0.500 0.000  3.52
Te 0.500 0.000 0.500  0.01

Calculated values
SG: P4/mmm

#ii
Below is crystalline Mn2CdTe at its relaxed geometry, with properties calculated at the PBE level.

a = 4.786 Å, b = 4.786 Å, c = 4.786 Å
α = 60.00°, β = 60.00°, γ = 60.00°
Last column: magnetic moment on the atom in μB.
Positions (direct):
Te 0.500 0.500 0.500  0.01
Mn 0.250 0.250 0.250  3.64
Mn 0.750 0.750 0.750  3.64
Cd 0.000 0.000 0.000  -0.04

Calculated values
SG: Fm-3m

#iii
Below is crystalline Mn2CdTe at its relaxed geometry, with properties calculated at the PBE level.

a = 3.324 Å, b = 3.324 Å, c = 7.504 Å
α = 90.00°, β = 90.00°, γ = 90.00°
Last column: magnetic moment on the atom in μB.
Positions (direct):
Cd 0.500 0.500 0.825  -0.06
Mn 0.000 0.000 0.038  3.42
Mn 0.500 0.500 0.229  2.99
Te 0.000 0.000 0.408  -0.13

Calculated values
SG: P4mm

Winner for stability: #iii

#i
Below is crystalline Mn3CdTe4 at its relaxed geometry, with properties calculated at the PBE level.

a = 15.017 Å, b = 15.017 Å, c = 15.017 Å
α = 17.46°, β = 17.46°, γ = 17.46°
Last column: magnetic moment on the atom in μB.
Positions (direct):
Mn 0.751 0.751 0.751  4.31
Mn 0.500 0.500 0.500  4.34
Mn 0.248 0.248 0.248  4.31
Te 0.065 0.065 0.065  0.06
Te 0.813 0.813 0.813  0.06
Te 0.562 0.562 0.562  0.06
Te 0.310 0.310 0.310  0.04
Cd 0.001 0.001 0.001  0.03

Calculated values
SG: R3m

#ii
Below is crystalline Mn3CdTe4 at its relaxed geometry, with properties calculated at the PBE level.

a = 4.148 Å, b = 4.148 Å, c = 11.818 Å
α = 90.00°, β = 90.00°, γ = 90.00°
Last column: magnetic moment on the atom in μB.
Positions (direct):
Mn 0.500 0.500 0.247  4.21
Mn 0.000 0.000 0.000  4.15
Mn 0.500 0.500 0.753  4.21
Cd 0.000 0.000 0.500  0.00
Te 0.000 0.000 0.238  0.04
Te 0.500 0.500 0.000  0.05
Te 0.000 0.000 0.762  0.04
Te 0.500 0.500 0.500  0.04

Calculated values
SG: P4/mmm

Winner for stability: #i

#i
Below is crystalline Th2MnCd at its relaxed geometry, with properties calculated at the PBE level.

a = 3.374 Å, b = 3.374 Å, c = 8.676 Å
α = 90.00°, β = 90.00°, γ = 90.00°
Positions (direct):
Mn 0.500 0.500 0.000
Th 0.000 0.000 0.798
Th 0.000 0.000 0.202
Cd 0.500 0.500 0.500

Calculated values
SG: P4/mmm

#ii
Below is crystalline Th2MnCd at its relaxed geometry, with properties calculated at the PBE level.

a = 3.920 Å, b = 3.920 Å, c = 9.983 Å
α = 78.68°, β = 78.68°, γ = 60.00°
Positions (direct):
Mn 0.500 0.500 0.500
Th 0.118 0.118 0.647
Th 0.882 0.882 0.353
Cd 0.000 0.000 0.000

Calculated values
SG: R-3m

Winner for stability: #i